Fe6O11F: optimized geometry, PBE+U.

abc: 10.255 10.255 2.968
angles: 90.00 90.00 142.47
Site moments in Bohr magnetons follow the coordinates.
Element x y z (fractional)
1 Fe 0.332 0.001 0.000  4.08
2 Fe 0.834 0.500 0.500  4.01
3 Fe 0.001 0.332 0.000  4.08
4 Fe 0.155 0.155 0.500  2.94
5 Fe 0.500 0.834 0.500  4.01
6 Fe 0.680 0.680 0.000  4.06
7 O 0.643 0.311 0.000  -0.01
8 O 0.689 0.023 0.000  0.00
9 O 0.023 0.689 0.000  0.00
10 O 0.938 0.396 0.500  0.02
11 O 0.066 0.266 0.500  -0.03
12 O 0.396 0.938 0.500  0.02
13 O 0.311 0.643 0.000  -0.01
14 O 0.266 0.066 0.500  -0.03
15 O 0.604 0.730 0.500  0.01
16 O 0.730 0.604 0.500  0.01
17 O 0.977 0.977 0.000  -0.20
18 F 0.358 0.358 0.000  0.01

Summary:
- Energy relative to the lowest polymorph listed for this composition: 0.0081 eV/atom
- Calculated volume: 10.56 Å³ per atom
- Fermi-level density of states: 0.270 states/eV/atom